Density functional theory data (PBE+U) for a relaxed structure of RbDyFeF6.

Geometry as POSCAR:
```
RbDyFeF6
1.0
-4.633 -3.261 1.188
-3.217 -1.983 -4.383
3.389 -4.897 -0.293
F Dy Fe Rb
6 1 1 1
Direct
0.384 0.629 0.307
0.991 0.386 0.303
0.385 0.991 0.696
0.616 0.991 0.303
0.629 0.385 0.692
0.992 0.616 0.697
0.333 0.333 0.500
0.670 0.670 0.500
0.000 0.000 0.000
```

The crystal system is monoclinic. Its density of states at the Fermi level is 0.00 states/eV/f.u. The total energy is -51.9 eV/cell.